Compound: CoIrO3
Source: the Alexandria database
Functional: PBE+U
Structure: relaxed

The calculation puts the density of states at the Fermi level at 4.6 states/eV/f.u. As for the total DFT energy (no corrections): -5.807 eV/atom. As for the crystal system: cubic. As for the calculated volume: 11.670 A^3/atom.

Cell: 3.879 3.879 3.879 Å, 90.00 90.00 90.00°
Space group Pm-3m (No. 221)
Inequivalent atoms, fractional coordinates:
1 Co 0.000 0.000 0.000
2 Ir 0.500 0.500 0.500
3 O 0.000 0.500 0.500